1.
Compound: Tl3Co5Se12
Source: the Alexandria database
Functional: PBE
Structure: relaxed

Output
magnetization = 1.13 μB per formula unit
raw formation energy = -0.11 eV/atom
total DFT energy (no corrections) = -4.329 eV/atom

a = 15.3211 Å, b = 15.3211 Å, c = 15.3211 Å
α = 90.00°, β = 90.00°, γ = 90.00°
Space group Ia-3d (No. 230)
Inequivalent atoms, fractional coordinates:
Tl  0.0000  0.2500  0.1250 x24
Co  0.0000  0.0000  0.0000 x16
Co  0.0000  0.2500  0.3750 x24
Se  0.0336  0.0474  0.6464 x96

2.
Compound: Tb5Pr2Ho3
Source: the Alexandria database
Functional: PBE
Structure: relaxed

Output
calculated formation energy = 0.19 eV/atom
magnetization = 0.00 μB per formula unit
total DFT energy (no corrections) = -4.451 eV/atom

a = 10.6733 Å, b = 16.0617 Å, c = 9.4089 Å
α = 90.00°, β = 124.29°, γ = 90.00°
Space group C2/c (No. 15)
Inequivalent atoms, fractional coordinates:
Tb  0.0000  0.0290  0.2500 x4
Tb  0.0000  0.2256  0.2500 x4
Tb  0.0000  0.2683  0.7500 x4
Tb  0.2289  0.1178  0.7142 x8
Pr  0.1401  0.3731  0.5468 x8
Ho  0.0000  0.4772  0.7500 x4
Ho  0.1587  0.1205  0.0476 x8

3.
Compound: CsTeBr2F
Source: the Alexandria database
Functional: PBE
Structure: relaxed

Output
magnetization = 0.00 μB per formula unit
raw formation energy = -1.20 eV/atom
total DFT energy (no corrections) = -3.041 eV/atom

a = 5.9931 Å, b = 5.9931 Å, c = 4.6339 Å
α = 90.00°, β = 90.00°, γ = 90.00°
Space group P4/mmm (No. 123)
Inequivalent atoms, fractional coordinates:
Cs  0.0000  0.0000  0.0000 x1
Te  0.5000  0.5000  0.5000 x1
Br  0.0000  0.5000  0.5000 x2
F  0.5000  0.5000  0.0000 x1

Among the records above, which one has the lowest total DFT energy (no corrections)? Tb5Pr2Ho3

Look up the magnetization of the first one. 1.13 μB per formula unit

Among the records above, which one has the lowest total DFT energy (no corrections)? Tb5Pr2Ho3